Entry 1:
First-principles (GGA-PBE) data for CaScCl2 after structural relaxation, as listed in Alexandria.

Unit cell a=5.790 b=5.790 c=5.790 alpha=145.34 beta=110.41 gamma=80.13
Fractional coordinates of all 4 atoms:
1 Sc 0.750 0.250 0.500
2 Ca 0.250 0.750 0.500
3 Cl 0.971 0.971 0.000
4 Cl 0.529 0.529 0.000

Results
- Calculated total energy: -4.21 eV per atom
- Energy relative to the elements, uncorrected: -1202.9 meV/atom
- Spin magnetization: 0.003 μB/cell
- Volume: 25.3 Å³/atom
- Excess energy over the best structure of this formula in the dataset: 0.200 eV per atom



Entry 2:
First-principles (GGA-PBE) data for CaScCl after structural relaxation, as listed in Alexandria.

Unit cell a=3.602 b=3.602 c=6.736 alpha=90.00 beta=90.00 gamma=120.00
Site moments in Bohr magnetons follow the coordinates.
Fractional coordinates of all 3 atoms:
1 Sc 0.667 0.333 0.627  0.23
2 Ca 0.000 0.000 0.025  0.08
3 Cl 0.333 0.667 0.348  0.00

Results
- Calculated total energy: -4.23 eV per atom
- Energy relative to the elements, uncorrected: -835.9 meV/atom
- Spin magnetization: 0.661 μB/cell
- Volume: 25.2 Å³/atom
- Excess energy over the best structure of this formula in the dataset: 0.000 eV per atom



Entry 3:
First-principles (GGA-PBE) data for CaScCl2 after structural relaxation, as listed in Alexandria.

Unit cell a=7.467 b=7.467 c=7.467 alpha=150.31 beta=150.31 gamma=42.49
Fractional coordinates of all 4 atoms:
1 Sc 0.500 0.500 0.000
2 Ca 0.750 0.250 0.500
3 Cl 0.000 0.000 0.000
4 Cl 0.250 0.750 0.500

Results
- Calculated total energy: -4.07 eV per atom
- Energy relative to the elements, uncorrected: -1066.9 meV/atom
- Spin magnetization: 0.000 μB/cell
- Volume: 25.5 Å³/atom
- Excess energy over the best structure of this formula in the dataset: 0.336 eV per atom



Entry 4:
First-principles (GGA-PBE) data for Ca2ScCl after structural relaxation, as listed in Alexandria.

Unit cell a=5.750 b=5.750 c=5.750 alpha=60.00 beta=60.00 gamma=60.00
Fractional coordinates of all 4 atoms:
1 Sc 0.500 0.500 0.500
2 Ca 0.250 0.250 0.250
3 Ca 0.750 0.750 0.750
4 Cl 0.000 0.000 0.000

Results
- Calculated total energy: -3.02 eV per atom
- Energy relative to the elements, uncorrected: 22.9 meV/atom
- Spin magnetization: 0.001 μB/cell
- Volume: 33.6 Å³/atom
- Excess energy over the best structure of this formula in the dataset: 0.721 eV per atom



Entry 5:
First-principles (GGA-PBE) data for CaScCl after structural relaxation, as listed in Alexandria.

Unit cell a=7.051 b=7.051 c=7.051 alpha=152.32 beta=152.32 gamma=39.55
Site moments in Bohr magnetons follow the coordinates.
Fractional coordinates of all 3 atoms:
1 Sc 0.681 0.681 0.000  0.27
2 Ca 0.990 0.990 0.000  0.01
3 Cl 0.329 0.329 0.000  0.00

Results
- Calculated total energy: -4.05 eV per atom
- Energy relative to the elements, uncorrected: -653.3 meV/atom
- Spin magnetization: 0.446 μB/cell
- Volume: 25.2 Å³/atom
- Excess energy over the best structure of this formula in the dataset: 0.183 eV per atom



Entry 6:
First-principles (GGA-PBE) data for Ca2ScSnCl after structural relaxation, as listed in Alexandria.

Unit cell a=5.212 b=4.893 c=5.212 alpha=90.00 beta=90.00 gamma=90.00
Fractional coordinates of all 5 atoms:
1 Sc 0.000 0.500 0.000
2 Ca 0.000 0.000 0.500
3 Ca 0.500 0.000 0.000
4 Sn 0.500 0.500 0.500
5 Cl 0.000 0.000 0.000

Results
- Calculated total energy: -3.87 eV per atom
- Energy relative to the elements, uncorrected: -632.4 meV/atom
- Spin magnetization: 0.000 μB/cell
- Volume: 26.6 Å³/atom



Entry 7:
First-principles (GGA-PBE) data for SrCaScCl2 after structural relaxation, as listed in Alexandria.

Unit cell a=5.188 b=9.256 c=5.188 alpha=90.00 beta=90.00 gamma=90.00
Site moments in Bohr magnetons follow the coordinates.
Fractional coordinates of all 5 atoms:
1 Sc 0.500 0.500 0.500  0.51
2 Sr 0.000 0.500 0.000  0.02
3 Ca 0.000 0.000 0.000  0.01
4 Cl 0.000 0.000 0.500  0.01
5 Cl 0.500 0.000 0.000  0.00

Results
- Calculated total energy: -3.32 eV per atom
- Energy relative to the elements, uncorrected: -581.0 meV/atom
- Spin magnetization: 1.014 μB/cell
- Volume: 49.8 Å³/atom
- Excess energy over the best structure of this formula in the dataset: 0.101 eV per atom



Entry 8:
First-principles (GGA-PBE) data for SrCaScCl2 after structural relaxation, as listed in Alexandria.

Unit cell a=5.284 b=7.231 c=5.284 alpha=90.00 beta=90.00 gamma=90.00
Site moments in Bohr magnetons follow the coordinates.
Fractional coordinates of all 5 atoms:
1 Sc 0.000 0.500 0.000  0.69
2 Sr 0.500 0.500 0.500  0.01
3 Ca 0.000 0.000 0.000  0.06
4 Cl 0.000 0.000 0.500  0.00
5 Cl 0.500 0.000 0.000  0.00

Results
- Calculated total energy: -3.42 eV per atom
- Energy relative to the elements, uncorrected: -682.2 meV/atom
- Spin magnetization: 1.250 μB/cell
- Volume: 40.4 Å³/atom
- Excess energy over the best structure of this formula in the dataset: 0.000 eV per atom



Entry 9:
First-principles (GGA-PBE) data for Ca2ScTlCl8 after structural relaxation, as listed in Alexandria.

Unit cell a=6.530 b=6.279 c=8.643 alpha=89.99 beta=90.00 gamma=89.16
Fractional coordinates of all 12 atoms:
1 Ca 0.500 0.500 0.751
2 Ca 0.500 0.500 0.249
3 Sc 0.000 0.000 0.000
4 Tl 0.000 0.000 0.500
5 Cl 0.168 0.775 0.201
6 Cl 0.690 0.741 0.000
7 Cl 0.832 0.225 0.201
8 Cl 0.832 0.225 0.799
9 Cl 0.310 0.259 0.000
10 Cl 0.168 0.775 0.799
11 Cl 0.624 0.724 0.500
12 Cl 0.376 0.276 0.500

Results
- Calculated total energy: -4.32 eV per atom
- Energy relative to the elements, uncorrected: -2031.0 meV/atom
- Spin magnetization: 0.000 μB/cell
- Volume: 29.5 Å³/atom



Entry 10:
First-principles (GGA-PBE) data for CaSeCl2 after structural relaxation, as listed in Alexandria.

Unit cell a=6.842 b=6.842 c=4.802 alpha=85.33 beta=85.33 gamma=33.38
Fractional coordinates of all 4 atoms:
1 Ca 0.250 0.250 0.250
2 Se 0.750 0.750 0.750
3 Cl 0.895 0.895 0.052
4 Cl 0.605 0.605 0.448

Results
- Calculated total energy: -3.70 eV per atom
- Energy relative to the elements, uncorrected: -1408.6 meV/atom
- Spin magnetization: 0.000 μB/cell
- Volume: 30.8 Å³/atom
- Excess energy over the best structure of this formula in the dataset: 0.000 eV per atom



Entry 11:
First-principles (GGA-PBE) data for Ca5Se4Cl after structural relaxation, as listed in Alexandria.

Unit cell a=4.201 b=5.896 c=11.068 alpha=105.45 beta=100.94 gamma=90.00
Fractional coordinates of all 10 atoms:
1 Ca 0.606 0.106 0.212
2 Ca 0.800 0.300 0.601
3 Ca 0.200 0.700 0.399
4 Ca 0.000 0.500 0.000
5 Ca 0.394 0.894 0.788
6 Se 0.403 0.403 0.806
7 Se 0.800 0.800 0.601
8 Se 0.200 0.200 0.399
9 Se 0.597 0.597 0.194
10 Cl 0.000 0.000 0.000

Results
- Calculated total energy: -4.52 eV per atom
- Energy relative to the elements, uncorrected: -1940.2 meV/atom
- Spin magnetization: 0.000 μB/cell
- Volume: 25.9 Å³/atom



Entry 12:
First-principles (GGA-PBE) data for Ca4Se3Cl2 after structural relaxation, as listed in Alexandria.

Unit cell a=4.176 b=7.335 c=9.120 alpha=78.54 beta=76.76 gamma=73.46
Fractional coordinates of all 9 atoms:
1 Ca 0.779 0.145 0.298
2 Ca 0.221 0.855 0.702
3 Ca 0.402 0.299 0.898
4 Ca 0.598 0.701 0.102
5 Se 0.000 0.000 0.000
6 Se 0.189 0.418 0.204
7 Se 0.811 0.582 0.796
8 Cl 0.626 0.129 0.620
9 Cl 0.374 0.871 0.380

Results
- Calculated total energy: -4.58 eV per atom
- Energy relative to the elements, uncorrected: -2115.6 meV/atom
- Spin magnetization: 0.000 μB/cell
- Volume: 28.7 Å³/atom



What did the seventh record say?
First-principles (GGA-PBE) data for SrCaScCl2 after structural relaxation, as listed in Alexandria.

Unit cell a=5.188 b=9.256 c=5.188 alpha=90.00 beta=90.00 gamma=90.00
Site moments in Bohr magnetons follow the coordinates.
Fractional coordinates of all 5 atoms:
1 Sc 0.500 0.500 0.500  0.51
2 Sr 0.000 0.500 0.000  0.02
3 Ca 0.000 0.000 0.000  0.01
4 Cl 0.000 0.000 0.500  0.01
5 Cl 0.500 0.000 0.000  0.00

Results
- Calculated total energy: -3.32 eV per atom
- Energy relative to the elements, uncorrected: -581.0 meV/atom
- Spin magnetization: 1.014 μB/cell
- Volume: 49.8 Å³/atom
- Excess energy over the best structure of this formula in the dataset: 0.101 eV per atom